No. 1
Density functional theory data (PBE-GGA) for a relaxed CsHg2HPd crystal.

```
5
Lattice="5.673 0.000 0.000 0.000 5.673 0.000 0.000 0.000 3.929" Properties=species:S:1:pos:R:3 pbc="T T T"
Hg 0.000 2.837 0.000
Pd 0.000 0.000 0.000
Hg 2.837 0.000 0.000
Cs 2.837 2.837 1.964
H 0.000 0.000 1.964
```

No. 2
Density functional theory data (PBE-GGA) for a relaxed Cs2Hg2HPd2 crystal.

```
7
Lattice="-4.836 -0.186 -0.880 -1.568 -5.834 -3.897 -3.130 -4.469 4.396" Properties=species:S:1:pos:R:3 pbc="T T T"
H 0.000 0.000 0.000
Hg -7.330 -7.437 0.611
Hg -2.204 -3.052 -0.992
Cs -5.155 -4.213 1.722
Cs -4.379 -6.276 -2.104
Pd -4.821 -8.610 0.818
Pd -4.713 -1.879 -1.199
```

No. 3
Density functional theory data (PBE-GGA) for a relaxed Cs2Hg2H4Pd crystal.

```
9
Lattice="-6.461 1.119 1.121 1.789 -6.408 -0.004 4.105 2.203 4.749" Properties=species:S:1:pos:R:3 pbc="T T T"
H -1.165 -0.326 1.158
H 2.173 -4.980 0.784
H 3.721 0.776 3.961
Hg 1.910 -1.363 1.538
Cs 0.295 0.610 4.122
Cs -0.863 -3.696 1.745
Pd 0.000 0.000 0.000
H 0.598 -2.760 4.708
Hg 3.984 -2.842 3.208
```

Total DFT energy (no corrections) (eV per atom)
-2.037; -2.490; -2.522